[1]
A relaxed LiZr2Al crystal. Source: Alexandria via LeMat-Bulk, functional PBE.

## Properties
**Energy of formation**: 0.0198 eV/atom
**N(E_F)**: 0.93 states/eV per atom
**Final energy**: -5.6684 eV/atom

a b c (Å): 10.428 10.428 10.428
angles (deg): 16.83 16.83 16.83
Fractional positions:
Li (0.000, 0.000, 0.000)
Zr (0.511, 0.511, 0.511)
Zr (0.755, 0.755, 0.755)
Al (0.258, 0.258, 0.258)

=====

[2]
A relaxed CsTl2Hg2 crystal. Source: Alexandria via LeMat-Bulk, functional PBE.

## Properties
**E above lowest polymorph**: 5 meV/atom
**Energy of formation**: -0.1353 eV/atom
**N(E_F)**: 0.83 states/eV per atom
**Final energy**: -1.3732 eV/atom

a b c (Å): 7.007 7.007 7.007
angles (deg): 131.46 131.46 71.09
Fractional positions:
Cs (0.000, 0.000, 0.000)
Tl (0.360, 0.360, 0.000)
Tl (0.640, 0.640, 0.000)
Hg (0.250, 0.750, 0.500)
Hg (0.750, 0.250, 0.500)

=====

[3]
A relaxed NiSn2H crystal. Source: Alexandria via LeMat-Bulk, functional PBE.

## Properties
**E above lowest polymorph**: 88 meV/atom
**N(E_F)**: 0.43 states/eV per atom
**Final energy**: -3.9301 eV/atom

a b c (Å): 7.325 7.325 7.325
angles (deg): 140.97 140.97 56.38
Fractional positions:
Ni (0.000, 0.000, 0.000)
Ni (0.750, 0.250, 0.500)
Sn (0.172, 0.625, 0.047)
Sn (0.375, 0.422, 0.547)
Sn (0.578, 0.125, 0.953)
Sn (0.875, 0.828, 0.453)
H (0.250, 0.750, 0.500)
H (0.500, 0.500, 0.000)

=====

[4]
A relaxed Pm8Ge3CBr4 crystal. Source: Alexandria via LeMat-Bulk, functional PBE.

## Properties
**Formation energy (no corrections)**: -1061 meV per atom
**N(E_F)**: 0.45 states/eV per atom
**Final energy**: -5.2970 eV/atom

a b c (Å): 8.750 8.750 8.750
angles (deg): 56.82 56.82 56.82
Fractional positions:
Pm (0.238, 0.238, 0.238)
Pm (0.263, 0.718, 0.718)
Pm (0.282, 0.282, 0.737)
Pm (0.282, 0.737, 0.282)
Pm (0.718, 0.263, 0.718)
Pm (0.718, 0.718, 0.263)
Pm (0.737, 0.282, 0.282)
Pm (0.762, 0.762, 0.762)
Ge (0.000, 0.000, 0.500)
Ge (0.000, 0.500, 0.000)
Ge (0.500, 0.000, 0.000)
C (0.500, 0.500, 0.500)
Br (0.000, 0.000, 0.000)
Br (0.000, 0.500, 0.500)
Br (0.500, 0.000, 0.500)
Br (0.500, 0.500, 0.000)

=====

[5]
A relaxed NaPm12Pb6 crystal. Source: Alexandria via LeMat-Bulk, functional PBE.

## Properties
**Energy of formation**: -0.2155 eV/atom
**N(E_F)**: 0.89 states/eV per atom
**Final energy**: -4.4564 eV/atom

a b c (Å): 9.341 9.341 9.341
angles (deg): 103.71 103.71 103.71
Fractional positions:
Na (0.000, 0.000, 0.000)
Pm (0.136, 0.500, 0.864)
Pm (0.136, 0.864, 0.500)
Pm (0.177, 0.460, 0.460)
Pm (0.460, 0.177, 0.460)
Pm (0.460, 0.460, 0.177)
Pm (0.500, 0.136, 0.864)
Pm (0.500, 0.864, 0.136)
Pm (0.540, 0.540, 0.823)
Pm (0.540, 0.823, 0.540)
Pm (0.823, 0.540, 0.540)
Pm (0.864, 0.136, 0.500)
Pm (0.864, 0.500, 0.136)
Pb (0.233, 0.233, 0.673)
Pb (0.233, 0.673, 0.233)
Pb (0.327, 0.767, 0.767)
Pb (0.673, 0.233, 0.233)
Pb (0.767, 0.327, 0.767)
Pb (0.767, 0.767, 0.327)

=====

[6]
A relaxed LiGdHoGe crystal. Source: Alexandria via LeMat-Bulk, functional PBE.

## Properties
**Energy of formation**: -0.4103 eV/atom
**N(E_F)**: 0.87 states/eV per atom
**Final energy**: -6.7078 eV/atom

a b c (Å): 5.032 5.032 5.032
angles (deg): 60.00 60.00 60.00
Fractional positions:
Li (0.000, 0.000, 0.000)
Gd (0.250, 0.250, 0.250)
Ho (0.750, 0.750, 0.750)
Ge (0.500, 0.500, 0.500)

=====

[7]
A relaxed SrHIr3 crystal. Source: Alexandria via LeMat-Bulk, functional PBE.

## Properties
**E above lowest polymorph**: 2970 meV/atom
**N(E_F)**: 1.51 states/eV per atom
**Final energy**: -3.0200 eV/atom

a b c (Å): 5.143 5.143 5.143
angles (deg): 90.00 90.00 90.00
Fractional positions:
Sr (0.000, 0.000, 0.000)
H (0.500, 0.500, 0.500)
Ir (0.000, 0.000, 0.500)
Ir (0.000, 0.500, 0.000)
Ir (0.500, 0.000, 0.000)

=====

[8]
A relaxed Ac2AlBiO6 crystal. Source: Alexandria via LeMat-Bulk, functional PBE.

## Properties
**Formation energy (no corrections)**: -2616 meV per atom
**N(E_F)**: 0.00 states/eV per atom
**Final energy**: -7.1745 eV/atom

a b c (Å): 5.623 5.623 5.074
angles (deg): 90.00 90.00 90.00
Fractional positions:
Ac (0.000, 0.500, 0.000)
Ac (0.500, 0.000, 0.000)
Al (0.000, 0.000, 0.576)
Bi (0.500, 0.500, 0.554)
O (0.000, 0.000, 0.221)
O (0.227, 0.227, 0.699)
O (0.227, 0.773, 0.699)
O (0.500, 0.500, 0.086)
O (0.773, 0.227, 0.699)
O (0.773, 0.773, 0.699)

=====

[9]
A relaxed As2HSeI crystal. Source: Alexandria via LeMat-Bulk, functional PBE.

## Properties
**E above lowest polymorph**: 0 meV/atom
**N(E_F)**: 0.63 states/eV per atom
**Final energy**: -2.7940 eV/atom

a b c (Å): 5.173 5.173 3.621
angles (deg): 90.00 90.00 90.00
Fractional positions:
As (0.000, 0.500, 0.000)
As (0.500, 0.000, 0.000)
H (0.000, 0.000, 0.000)
Se (0.000, 0.000, 0.500)
I (0.500, 0.500, 0.500)

=====

[10]
A relaxed TaAlNi crystal. Source: Alexandria via LeMat-Bulk, functional PBE.

## Properties
**Energy of formation**: -0.3985 eV/atom
**N(E_F)**: 0.94 states/eV per atom
**Final energy**: -7.5240 eV/atom

a b c (Å): 5.613 5.613 5.613
angles (deg): 150.43 150.43 42.30
Fractional positions:
Ta (0.000, 0.000, 0.000)
Al (0.310, 0.310, 0.000)
Ni (0.673, 0.673, 0.000)